Model P:
Compound: SiH2Cl
Source: Alexandria
Functional: PBE-GGA
Structure: optimized geometry

It has space group I4_1/amd (No. 141, origin choice 2), with a = 5.279 Å, b = 5.279 Å, c = 7.581 Å, α = 90.00°, β = 90.00° and γ = 90.00°. The asymmetric unit holds Si at (0.000, 0.250, 0.375), H at (0.000, 0.000, 0.500) and Cl at (0.000, 0.250, 0.875).

Its total magnetization is 0.00 μB per atom.


Model Q:
Compound: SiH2Cl
Source: Alexandria
Functional: PBE-GGA
Structure: optimized geometry

It has space group Fm-3m (No. 225), with a = 5.608 Å, b = 5.608 Å, c = 5.608 Å, α = 90.00°, β = 90.00° and γ = 90.00°. The asymmetric unit holds Si at (0.000, 0.000, 0.000), H at (0.250, 0.250, 0.250) and Cl at (0.000, 0.000, 0.500).

Its total magnetization is 0.00 μB per atom.


Model R:
Compound: SiH2Cl
Source: Alexandria
Functional: PBE-GGA
Structure: optimized geometry

It has space group P1 (No. 1), with a = 5.485 Å, b = 5.606 Å, c = 5.629 Å, α = 110.38°, β = 93.01° and γ = 92.90°. The asymmetric unit holds Si at (0.000, 0.000, 0.000), Si at (0.127, 0.361, 0.360), H at (0.212, 0.855, 0.890), H at (0.279, 0.558, 0.301), H at (0.849, 0.061, 0.804), H at (0.915, 0.471, 0.505), Cl at (0.350, 0.235, 0.599) and Cl at (0.777, 0.760, 0.123).

Its total magnetization is 0.00 μB per atom.


Going by the energies, model R is most stable and the next is 531 meV/atom up.


Model P:
Compound: SiHCl2
Source: Alexandria
Functional: PBE-GGA
Structure: optimized geometry

It has space group Fm-3m (No. 225), with a = 6.535 Å, b = 6.535 Å, c = 6.535 Å, α = 90.00°, β = 90.00° and γ = 90.00°. The asymmetric unit holds Si at (0.000, 0.000, 0.000), H at (0.000, 0.000, 0.500) and Cl at (0.250, 0.250, 0.250).

Its total magnetization is 0.25 μB per atom.


Model Q:
Compound: SiHCl2
Source: Alexandria
Functional: PBE-GGA
Structure: optimized geometry

It has space group R-3m (No. 166, hexagonal axes), with a = 3.4004 Å, b = 3.4004 Å, c = 22.1240 Å, α = 90.00°, β = 90.00° and γ = 120.00°. The asymmetric unit holds Si at (0.0000, 0.0000, 0.0000), H at (0.0000, 0.0000, 0.5000) and Cl at (0.0000, 0.0000, 0.4293).

Its total magnetization is 0.00 μB per atom.


Going by the energies, model Q is most stable and the next is 313 meV/atom up.


Model P:
Compound: SiHCl2
Source: Alexandria
Functional: PBE-GGA
Structure: optimized geometry

It has space group I-42d (No. 122), with a = 8.459 Å, b = 8.459 Å, c = 9.257 Å, α = 90.00°, β = 90.00° and γ = 90.00°. The asymmetric unit holds Si at (0.000, 0.000, 0.000), H at (0.000, 0.000, 0.500) and Cl at (0.004, 0.250, 0.125).

Its total magnetization is 0.25 μB per atom.


Model Q:
Compound: SiHCl2
Source: Alexandria
Functional: PBE-GGA
Structure: optimized geometry

It has space group R-3m (No. 166, hexagonal axes), with a = 3.2060 Å, b = 3.2060 Å, c = 21.6077 Å, α = 90.00°, β = 90.00° and γ = 120.00°. The asymmetric unit holds Si at (0.0000, 0.0000, 0.0000), H at (0.0000, 0.0000, 0.5000) and Cl at (0.0000, 0.0000, 0.1071).

Its total magnetization is 0.00 μB per atom.


Going by the energies, model P is most stable and the next is 140 meV/atom up.


Model P:
Compound: Sn2HCl
Source: Alexandria
Functional: PBE-GGA
Structure: optimized geometry

It has space group Fm-3m (No. 225), with a = 7.032 Å, b = 7.032 Å, c = 7.032 Å, α = 90.00°, β = 90.00° and γ = 90.00°. The asymmetric unit holds Sn at (0.250, 0.250, 0.250), H at (0.000, 0.000, 0.000) and Cl at (0.000, 0.000, 0.500).

Its total magnetization is 0.00 μB per atom.


Model Q:
Compound: Sn2HCl
Source: Alexandria
Functional: PBE-GGA
Structure: optimized geometry

It has space group I-42d (No. 122), with a = 5.744 Å, b = 5.744 Å, c = 12.303 Å, α = 90.00°, β = 90.00° and γ = 90.00°. The asymmetric unit holds Sn at (0.123, 0.250, 0.125), H at (0.000, 0.000, 0.000) and Cl at (0.000, 0.000, 0.500).

Its total magnetization is 0.00 μB per atom.


Going by the energies, model Q is most stable and the next is 250 meV/atom up.


Model P:
Compound: SnH2Cl
Source: Alexandria
Functional: PBE-GGA
Structure: optimized geometry

It has space group Fm-3m (No. 225), with a = 6.051 Å, b = 6.051 Å, c = 6.051 Å, α = 90.00°, β = 90.00° and γ = 90.00°. The asymmetric unit holds Sn at (0.000, 0.000, 0.000), H at (0.250, 0.250, 0.250) and Cl at (0.000, 0.000, 0.500).

Its total magnetization is 0.00 μB per atom.


Model Q:
Compound: SnH2Cl
Source: Alexandria
Functional: PBE-GGA
Structure: optimized geometry

It has space group I4_1/amd (No. 141, origin choice 2), with a = 4.582 Å, b = 4.582 Å, c = 12.104 Å, α = 90.00°, β = 90.00° and γ = 90.00°. The asymmetric unit holds Sn at (0.000, 0.250, 0.375), H at (0.000, 0.000, 0.500) and Cl at (0.000, 0.250, 0.875).

Its total magnetization is 0.00 μB per atom.


Going by the energies, model Q is most stable and the next is 527 meV/atom up.


Model P:
Compound: SnH2Cl2
Source: Alexandria
Functional: PBE-GGA
Structure: optimized geometry

It has space group C2/m (No. 12), with a = 11.576 Å, b = 3.213 Å, c = 5.349 Å, α = 90.00°, β = 93.20° and γ = 90.00°. The asymmetric unit holds Sn at (0.000, 0.000, 0.000), H at (0.073, 0.500, 0.172) and Cl at (0.148, 0.000, 0.712).

Its total magnetization is 0.00 μB per atom.


Model Q:
Compound: SnH2Cl2
Source: Alexandria
Functional: PBE-GGA
Structure: optimized geometry

It has space group P-3m1 (No. 164), with a = 4.2905 Å, b = 4.2905 Å, c = 10.2110 Å, α = 90.00°, β = 90.00° and γ = 120.00°. The asymmetric unit holds Sn at (0.0000, 0.0000, 0.0000), H at (0.3333, 0.6667, 0.6225) and Cl at (0.3333, 0.6667, 0.1453).

Its total magnetization is 0.40 μB per atom.


Going by the energies, model P is most stable and the next is 392 meV/atom up.


Model P:
Compound: Sr2HCl2
Source: Alexandria
Functional: PBE-GGA
Structure: optimized geometry

It has space group P4/mbm (No. 127), with a = 7.444 Å, b = 7.444 Å, c = 4.624 Å, α = 90.00°, β = 90.00° and γ = 90.00°. The asymmetric unit holds Sr at (0.177, 0.323, 0.000), H at (0.000, 0.000, 0.000) and Cl at (0.152, 0.652, 0.500).

Its total magnetization is 0.00 μB per atom.


Model Q:
Compound: Sr2HCl2
Source: Alexandria
Functional: PBE-GGA
Structure: optimized geometry

It has space group P4/mmm (No. 123), with a = 5.408 Å, b = 5.408 Å, c = 13.849 Å, α = 90.00°, β = 90.00° and γ = 90.00°. The asymmetric unit holds Sr at (0.000, 0.000, 0.168), H at (0.000, 0.000, 0.000) and Cl at (0.000, 0.000, 0.351).

Its total magnetization is 0.00 μB per atom.


Going by the energies, model P is most stable and the next is 732 meV/atom up.


Model P:
Compound: Sr2H2Cl
Source: Alexandria
Functional: PBE-GGA
Structure: optimized geometry

It has space group P4/mbm (No. 127), with a = 7.453 Å, b = 7.453 Å, c = 3.461 Å, α = 90.00°, β = 90.00° and γ = 90.00°. The asymmetric unit holds Sr at (0.171, 0.329, 0.000), H at (0.122, 0.622, 0.500) and Cl at (0.000, 0.000, 0.500).

Its total magnetization is 0.00 μB per atom.


Model Q:
Compound: Sr2H2Cl
Source: Alexandria
Functional: PBE-GGA
Structure: optimized geometry

It has space group I4/mmm (No. 139), with a = 3.919 Å, b = 3.919 Å, c = 14.086 Å, α = 90.00°, β = 90.00° and γ = 90.00°. The asymmetric unit holds Sr at (0.000, 0.000, 0.152), H at (0.000, 0.500, 0.250) and Cl at (0.000, 0.000, 0.500).

Its total magnetization is 0.00 μB per atom.


Going by the energies, model Q is most stable and the next is 176 meV/atom up.


Model P:
Compound: Ta2HCl
Source: Alexandria
Functional: PBE-GGA
Structure: optimized geometry

It has space group Fm-3m (No. 225), with a = 6.022 Å, b = 6.022 Å, c = 6.022 Å, α = 90.00°, β = 90.00° and γ = 90.00°. The asymmetric unit holds Ta at (0.250, 0.250, 0.250), H at (0.000, 0.000, 0.000) and Cl at (0.000, 0.000, 0.500).

Its total magnetization is 0.00 μB per atom.


Model Q:
Compound: Ta2HCl
Source: Alexandria
Functional: PBE-GGA
Structure: optimized geometry

It has space group I-42d (No. 122), with a = 4.961 Å, b = 4.961 Å, c = 9.931 Å, α = 90.00°, β = 90.00° and γ = 90.00°. The asymmetric unit holds Ta at (0.154, 0.250, 0.125), H at (0.000, 0.000, 0.000) and Cl at (0.000, 0.000, 0.500).

Its total magnetization is 0.00 μB per atom.


Going by the energies, model Q is most stable and the next is 674 meV/atom up.


Model P:
Compound: Tc2HCl
Source: Alexandria
Functional: PBE-GGA
Structure: optimized geometry

It has space group Fm-3m (No. 225), with a = 5.710 Å, b = 5.710 Å, c = 5.710 Å, α = 90.00°, β = 90.00° and γ = 90.00°. The asymmetric unit holds Tc at (0.250, 0.250, 0.250), H at (0.000, 0.000, 0.000) and Cl at (0.000, 0.000, 0.500).

Its total magnetization is 0.00 μB per atom.


Model Q:
Compound: Tc2HCl
Source: Alexandria
Functional: PBE-GGA
Structure: optimized geometry

It has space group I-42d (No. 122), with a = 4.840 Å, b = 4.840 Å, c = 8.998 Å, α = 90.00°, β = 90.00° and γ = 90.00°. The asymmetric unit holds Tc at (0.132, 0.250, 0.125), H at (0.000, 0.000, 0.000) and Cl at (0.000, 0.000, 0.500).

Its total magnetization is 0.00 μB per atom.


Going by the energies, model Q is most stable and the next is 571 meV/atom up.


Model P:
Compound: TcHCl3
Source: Alexandria
Functional: PBE-GGA
Structure: optimized geometry

It has space group Pm-3m (No. 221), with a = 4.207 Å, b = 4.207 Å, c = 4.207 Å, α = 90.00°, β = 90.00° and γ = 90.00°. The asymmetric unit holds Tc at (0.000, 0.000, 0.000), H at (0.500, 0.500, 0.500) and Cl at (0.000, 0.500, 0.500).

Its total magnetization is 0.00 μB per atom.


Model Q:
Compound: TcHCl3
Source: Alexandria
Functional: PBE-GGA
Structure: optimized geometry

It has space group P-1 (No. 2), with a = 5.794 Å, b = 5.996 Å, c = 8.700 Å, α = 72.59°, β = 85.75° and γ = 84.20°. The asymmetric unit holds Tc at (0.014, 0.059, 0.356), H at (0.482, 0.830, 0.824), Cl at (0.244, 0.714, 0.497), Cl at (0.258, 0.984, 0.840) and Cl at (0.284, 0.332, 0.182).

Its total magnetization is 0.60 μB per atom.


Model R:
Compound: TcHCl3
Source: Alexandria
Functional: PBE-GGA
Structure: optimized geometry

It has space group Pm-3m (No. 221), with a = 4.873 Å, b = 4.873 Å, c = 4.873 Å, α = 90.00°, β = 90.00° and γ = 90.00°. The asymmetric unit holds Tc at (0.000, 0.000, 0.000), H at (0.500, 0.500, 0.500) and Cl at (0.000, 0.000, 0.500).

Its total magnetization is 0.88 μB per atom.


Going by the energies, model Q is most stable and the next is 365 meV/atom up.


Model P:
Compound: TeH3Cl
Source: Alexandria
Functional: PBE-GGA
Structure: optimized geometry

It has space group R3m (No. 160, hexagonal axes), with a = 5.5502 Å, b = 5.5502 Å, c = 10.1100 Å, α = 90.00°, β = 90.00° and γ = 120.00°. The asymmetric unit holds Te at (0.0000, 0.0000, 0.0000), H at (0.0390, 0.5195, 0.7634) and Cl at (0.0000, 0.0000, 0.5617).

Its total magnetization is 0.00 μB per atom.


Model Q:
Compound: TeH3Cl
Source: Alexandria
Functional: PBE-GGA
Structure: optimized geometry

It has space group Pm-3m (No. 221), with a = 3.874 Å, b = 3.874 Å, c = 3.874 Å, α = 90.00°, β = 90.00° and γ = 90.00°. The asymmetric unit holds Te at (0.000, 0.000, 0.000), H at (0.000, 0.500, 0.500) and Cl at (0.500, 0.500, 0.500).

Its total magnetization is 0.00 μB per atom.


Model R:
Compound: TeH3Cl
Source: Alexandria
Functional: PBE-GGA
Structure: optimized geometry

It has space group Pm-3m (No. 221), with a = 3.940 Å, b = 3.940 Å, c = 3.940 Å, α = 90.00°, β = 90.00° and γ = 90.00°. The asymmetric unit holds Te at (0.000, 0.000, 0.000), H at (0.000, 0.000, 0.500) and Cl at (0.500, 0.500, 0.500).

Its total magnetization is 0.00 μB per atom.


Going by the energies, model P is most stable and the next is 350 meV/atom up.